[1]
# Tl2ZnCo, PBEsol geometry, DFT SCAN
data_Tl2ZnCo
_chemical_formula_sum 'Tl2 Zn1 Co1'
_cell_length_a 3.402
_cell_length_b 3.402
_cell_length_c 6.310
_cell_angle_alpha 90.00
_cell_angle_beta 90.00
_cell_angle_gamma 90.00
_symmetry_space_group_name_H-M 'P 4/m m m'
_symmetry_Int_Tables_number 123
_symmetry_space_group_name_Hall '-P 4 2'
loop_
_atom_site_label
_atom_site_type_symbol
_atom_site_fract_x
_atom_site_fract_y
_atom_site_fract_z
Tl1 Tl 0.000 0.000 0.236
Zn1 Zn 0.500 0.500 0.500
Co1 Co 0.500 0.500 0.000
# energy above the most stable polymorph in this dataset: 0.076 eV per atom
# total magnetization: 1.7 Bohr magnetons per cell
# energy of formation from the pure elements: 0.52 eV/atom
# total energy: -43.361 eV/atom
# DOS(E_F): 0.41 states/eV per atom

=====

[2]
# Tl2ZnCo, PBEsol geometry, DFT SCAN
data_Tl2ZnCo
_chemical_formula_sum 'Tl4 Zn2 Co2'
_cell_length_a 4.007
_cell_length_b 4.007
_cell_length_c 9.055
_cell_angle_alpha 90.00
_cell_angle_beta 90.00
_cell_angle_gamma 90.00
_symmetry_space_group_name_H-M 'I -4 m 2'
_symmetry_Int_Tables_number 119
_symmetry_space_group_name_Hall 'I -4 -2'
loop_
_atom_site_label
_atom_site_type_symbol
_atom_site_fract_x
_atom_site_fract_y
_atom_site_fract_z
Tl1 Tl 0.000 0.000 0.000
Tl2 Tl 0.000 0.500 0.250
Zn1 Zn 0.000 0.000 0.500
Co1 Co 0.000 0.500 0.750
# energy above the most stable polymorph in this dataset: 0.094 eV per atom
# total magnetization: 3.4 Bohr magnetons per cell
# energy of formation from the pure elements: 0.54 eV/atom
# total energy: -43.343 eV/atom
# DOS(E_F): 0.44 states/eV per atom

=====

[3]
# TlZnCo3, PBEsol geometry, DFT SCAN
data_TlZnCo3
_chemical_formula_sum 'Tl1 Zn1 Co3'
_cell_length_a 4.307
_cell_length_b 4.307
_cell_length_c 4.307
_cell_angle_alpha 90.00
_cell_angle_beta 90.00
_cell_angle_gamma 90.00
_symmetry_space_group_name_H-M 'P m -3 m'
_symmetry_Int_Tables_number 221
_symmetry_space_group_name_Hall '-P 4 2 3'
loop_
_atom_site_label
_atom_site_type_symbol
_atom_site_fract_x
_atom_site_fract_y
_atom_site_fract_z
Tl1 Tl 0.000 0.000 0.000
Zn1 Zn 0.500 0.500 0.500
Co1 Co 0.000 0.500 0.500
# total magnetization: 5.3 Bohr magnetons per cell
# energy of formation from the pure elements: 1.02 eV/atom
# total energy: -26.536 eV/atom
# DOS(E_F): 0.40 states/eV per atom